[1]
A plane-wave DFT calculation with GGA-PBE was carried out for crystalline NaSrAlCd at its relaxed geometry.

Calculated values
**Uncorrected energy**: -1.983 eV/atom
**Formation enthalpy at 0 K**: -68.2 meV per atom
**DOS(E_F)**: 0.31 states/eV/atom

a b c (Å): 7.4502 7.4502 7.4502
angles (deg): 90.00 90.00 90.00
Last column: nearest neighbours and their distance in Å.
Space group F-43m (No. 216)
One atom of each set of equivalent atoms:
Na (0.0000, 0.0000, 0.0000) [4 per cell]  4 Sr 3.23, 4 Al 3.23
Sr (0.2500, 0.2500, 0.7500) [4 per cell]  4 Cd 3.23, 4 Na 3.23
Al (0.2500, 0.2500, 0.2500) [4 per cell]  4 Cd 3.23, 4 Na 3.23
Cd (0.0000, 0.0000, 0.5000) [4 per cell]  4 Al 3.23, 4 Sr 3.23

=====

[2]
A plane-wave DFT calculation with GGA-PBE was carried out for crystalline SrGa2Te2 at its relaxed geometry.

Calculated values
**Uncorrected energy**: -3.398 eV/atom
**Formation energy from raw total energies**: -594 meV/atom
**DOS(E_F)**: 0.36 states/eV/atom

a b c (Å): 5.6790 5.6790 8.9834
angles (deg): 90.00 90.00 90.00
Last column: nearest neighbours and their distance in Å.
Space group I4/mmm (No. 139)
One atom of each set of equivalent atoms:
Sr (0.0000, 0.0000, 0.0000) [2 per cell]  2 Ga 3.19
Ga (0.0000, 0.0000, 0.3553) [4 per cell]  1 Ga 2.60
Te (0.0000, 0.5000, 0.2500) [4 per cell]  4 Ga 2.99

=====

[3]
A plane-wave DFT calculation with GGA-PBE was carried out for crystalline Rb2NaTl at its relaxed geometry.

Calculated values
**Uncorrected energy**: -1.205 eV/atom
**Formation enthalpy at 0 K**: 200.2 meV per atom
**DOS(E_F)**: 1.11 states/eV/atom

a b c (Å): 4.2162 4.2162 43.1481
angles (deg): 90.00 90.00 120.00
Last column: nearest neighbours and their distance in Å.
Space group R-3m (No. 166, hexagonal axes)
One atom of each set of equivalent atoms:
Rb (0.0000, 0.0000, 0.0848) [6 per cell]  1 Tl 3.66
Na (0.0000, 0.0000, 0.5000) [3 per cell]  6 Na 4.22, 6 Rb 4.29
Tl (0.0000, 0.0000, 0.0000) [3 per cell]  2 Rb 3.66

=====

[4]
A plane-wave DFT calculation with GGA-PBE was carried out for crystalline Sm2RuPbO8 at its relaxed geometry.

Calculated values
**Uncorrected energy**: -7.016 eV/atom
**Formation energy from raw total energies**: -1842 meV/atom
**DOS(E_F)**: 0.23 states/eV/atom

a b c (Å): 7.1477 7.2792 6.8991
angles (deg): 90.00 90.01 90.00
Last column: nearest neighbours and their distance in Å.
Space group C2/m (No. 12)
One atom of each set of equivalent atoms:
Sm (0.0012, 0.0000, 0.2512) [4 per cell]  6 O 2.23-2.43
Ru (0.0000, 0.5000, 0.5000) [2 per cell]  6 O 1.86-1.97
Pb (0.0000, 0.5000, 0.0000) [2 per cell]  6 O 2.18-2.36
O (0.0007, 0.3208, 0.7147) [8 per cell]  1 Ru 1.97
O (0.1957, 0.0000, 0.9991) [4 per cell]  1 Pb 2.18, 2 Sm 2.23
O (0.2399, 0.0000, 0.5010) [4 per cell]  1 Ru 1.86

=====

[5]
A plane-wave DFT calculation with GGA-PBE was carried out for crystalline CePtRh at its relaxed geometry.

Calculated values
**Uncorrected energy**: -7.176 eV/atom
**Formation enthalpy at 0 K**: -734.4 meV per atom
**DOS(E_F)**: 2.31 states/eV/atom

a b c (Å): 4.3928 4.3928 3.8255
angles (deg): 90.00 90.00 120.00
Last column: nearest neighbours and their distance in Å.
Space group P-6m2 (No. 187)
One atom of each set of equivalent atoms:
Ce (0.0000, 0.0000, 0.0000) [1 per cell]  6 Rh 3.18, 6 Pt 3.18
Pt (0.3333, 0.6667, 0.5000) [1 per cell]  3 Rh 2.54
Rh (0.6667, 0.3333, 0.5000) [1 per cell]  3 Pt 2.54

=====

[6]
A plane-wave DFT calculation with GGA-PBE was carried out for crystalline ThCdRuRh at its relaxed geometry.

Calculated values
**Uncorrected energy**: -6.620 eV/atom
**Formation enthalpy at 0 K**: -379.8 meV per atom
**DOS(E_F)**: 0.53 states/eV/atom

a b c (Å): 6.7744 6.7744 6.7744
angles (deg): 90.00 90.00 90.00
Last column: nearest neighbours and their distance in Å.
Space group F-43m (No. 216)
One atom of each set of equivalent atoms:
Th (0.0000, 0.0000, 0.0000) [4 per cell]  4 Ru 2.93, 4 Rh 2.93
Cd (0.0000, 0.0000, 0.5000) [4 per cell]  4 Rh 2.93, 4 Ru 2.93
Ru (0.2500, 0.2500, 0.2500) [4 per cell]  4 Cd 2.93, 4 Th 2.93
Rh (0.2500, 0.2500, 0.7500) [4 per cell]  4 Cd 2.93, 4 Th 2.93

=====

Please write out number 1 again, unchanged.
A plane-wave DFT calculation with GGA-PBE was carried out for crystalline NaSrAlCd at its relaxed geometry.

Calculated values
**Uncorrected energy**: -1.983 eV/atom
**Formation enthalpy at 0 K**: -68.2 meV per atom
**DOS(E_F)**: 0.31 states/eV/atom

a b c (Å): 7.4502 7.4502 7.4502
angles (deg): 90.00 90.00 90.00
Last column: nearest neighbours and their distance in Å.
Space group F-43m (No. 216)
One atom of each set of equivalent atoms:
Na (0.0000, 0.0000, 0.0000) [4 per cell]  4 Sr 3.23, 4 Al 3.23
Sr (0.2500, 0.2500, 0.7500) [4 per cell]  4 Cd 3.23, 4 Na 3.23
Al (0.2500, 0.2500, 0.2500) [4 per cell]  4 Cd 3.23, 4 Na 3.23
Cd (0.0000, 0.0000, 0.5000) [4 per cell]  4 Al 3.23, 4 Sr 3.23

=====

Copy entry 4 word for word.
A plane-wave DFT calculation with GGA-PBE was carried out for crystalline Sm2RuPbO8 at its relaxed geometry.

Calculated values
**Uncorrected energy**: -7.016 eV/atom
**Formation energy from raw total energies**: -1842 meV/atom
**DOS(E_F)**: 0.23 states/eV/atom

a b c (Å): 7.1477 7.2792 6.8991
angles (deg): 90.00 90.01 90.00
Last column: nearest neighbours and their distance in Å.
Space group C2/m (No. 12)
One atom of each set of equivalent atoms:
Sm (0.0012, 0.0000, 0.2512) [4 per cell]  6 O 2.23-2.43
Ru (0.0000, 0.5000, 0.5000) [2 per cell]  6 O 1.86-1.97
Pb (0.0000, 0.5000, 0.0000) [2 per cell]  6 O 2.18-2.36
O (0.0007, 0.3208, 0.7147) [8 per cell]  1 Ru 1.97
O (0.1957, 0.0000, 0.9991) [4 per cell]  1 Pb 2.18, 2 Sm 2.23
O (0.2399, 0.0000, 0.5010) [4 per cell]  1 Ru 1.86